The following is a DFT calculation (GGA+U) of a relaxed structure of MnIn2SbO8.

Results
density of states at the Fermi level: 0.6415 states/eV/atom
total DFT energy (no corrections): -72.17 eV/cell
magnetic moment: 2.06 μB/f.u.
calculated volume: 148.5 Å³ per cell

abc: 4.837 4.837 6.348
angles: 90.00 90.00 91.96
Atoms (fractional coordinates):
1 Mn 0.000 0.000 0.000
2 In 0.500 0.500 0.246
3 In 0.500 0.500 0.754
4 Sb 0.000 0.000 0.500
5 O 0.179 0.821 0.244
6 O 0.179 0.821 0.756
7 O 0.283 0.283 0.000
8 O 0.294 0.294 0.500
9 O 0.706 0.706 0.500
10 O 0.717 0.717 0.000
11 O 0.821 0.179 0.244
12 O 0.821 0.179 0.756